#i
This record from Alexandria describes a geometry-optimized NaHF2 structure. The functional is PBE.

The structure belongs to space group R-3m (No. 166, hexagonal axes); the cell edges are 3.4780, 3.4780 and 13.9738 Å and the angles 90.00°, 90.00° and 120.00°. Symmetry generates all atoms from Na at (0.0000, 0.0000, 0.0000), H at (0.0000, 0.0000, 0.5000) and F at (0.0000, 0.0000, 0.4178).

The calculation puts the density of states at the Fermi level at 0.0 states/eV/cell. Its crystal system is trigonal.

=====

#ii
This record from Alexandria describes a geometry-optimized NaHF2 structure. The functional is PBE.

The structure belongs to space group R-3m (No. 166, hexagonal axes); the cell edges are 2.8829, 2.8829 and 17.6658 Å and the angles 90.00°, 90.00° and 120.00°. Symmetry generates all atoms from Na at (0.0000, 0.0000, 0.0000), H at (0.0000, 0.0000, 0.5000) and F at (0.0000, 0.0000, 0.1132).

The calculation puts the density of states at the Fermi level at 0.0 states/eV/cell. Its crystal system is trigonal.

=====

#iii
This record from Alexandria describes a geometry-optimized NaHF2 structure. The functional is PBE.

The structure belongs to space group C2 (No. 5); the cell edges are 5.0476, 5.7873 and 3.2212 Å and the angles 90.00°, 99.87° and 90.00°. Symmetry generates all atoms from Na at (0.0000, 0.0000, 0.0000), H at (0.0000, 0.3626, 0.5000) and F at (0.2080, 0.3458, 0.4043).

The calculation puts the density of states at the Fermi level at 0.0 states/eV/cell. Its crystal system is monoclinic.

=====

It comes down to #i, which is 70 meV/atom more stable than the next structure.